Record 1
Computed, not measured: a geometry-optimized AlSiOs2 structure at the PBE level of DFT.

Lattice parameters (Å, degrees): 8.346 8.346 8.346 19.56 19.56 19.56
Fractional coordinates of all 4 atoms:
Al 0.000 0.000 0.000
Si 0.754 0.754 0.754
Os 0.251 0.251 0.251
Os 0.496 0.496 0.496

Output
The uncorrected formation energy is -3.12 kJ/mol of atoms. The calculation puts the calculated volume at 14.24 A^3/atom. The total energy is -7.94 eV per atom.

Record 2
Computed, not measured: a geometry-optimized AlSiOs2 structure at the PBE level of DFT.

Lattice parameters (Å, degrees): 2.859 3.728 5.399 90.00 102.40 90.00
Fractional coordinates of all 4 atoms:
Al 0.000 0.000 0.000
Si 0.000 0.000 0.500
Os 0.363 0.500 0.732
Os 0.637 0.500 0.268

Output
The uncorrected formation energy is -21.27 kJ/mol of atoms. The calculation puts the calculated volume at 14.05 A^3/atom. The total energy is -8.13 eV per atom.

Record 3
Computed, not measured: a geometry-optimized Al2SiOs structure at the PBE level of DFT.

Lattice parameters (Å, degrees): 4.696 4.696 4.696 132.29 132.29 69.77
Fractional coordinates of all 4 atoms:
Al 0.250 0.750 0.500
Al 0.750 0.250 0.500
Si 0.000 0.000 0.000
Os 0.500 0.500 0.000

Output
The uncorrected formation energy is -13.92 kJ/mol of atoms. The calculation puts the calculated volume at 13.89 A^3/atom. The total energy is -6.18 eV per atom.

Record 4
Computed, not measured: a geometry-optimized Al2SiOs structure at the PBE level of DFT.

Lattice parameters (Å, degrees): 4.666 4.666 4.384 97.35 97.35 37.05
Fractional coordinates of all 4 atoms:
Al 0.241 0.241 0.242
Al 0.759 0.759 0.758
Si 0.000 0.000 0.500
Os 0.500 0.500 0.000

Output
The uncorrected formation energy is -11.21 kJ/mol of atoms. The calculation puts the calculated volume at 14.25 A^3/atom. The total energy is -6.15 eV per atom.

Record 5
Computed, not measured: a geometry-optimized AlSiOs2 structure at the PBE level of DFT.

Lattice parameters (Å, degrees): 8.178 8.178 8.178 19.97 19.97 19.97
Fractional coordinates of all 4 atoms:
Al 0.000 0.000 0.000
Si 0.500 0.500 0.500
Os 0.245 0.245 0.245
Os 0.755 0.755 0.755

Output
The uncorrected formation energy is -14.62 kJ/mol of atoms. The calculation puts the calculated volume at 13.96 A^3/atom. The total energy is -8.06 eV per atom.

Record 6
Computed, not measured: a geometry-optimized Al2SiOs structure at the PBE level of DFT.

Lattice parameters (Å, degrees): 8.262 8.262 8.262 20.23 20.23 20.23
Fractional coordinates of all 4 atoms:
Al 0.248 0.248 0.248
Al 0.752 0.752 0.752
Si 0.000 0.000 0.000
Os 0.500 0.500 0.500

Output
The uncorrected formation energy is -0.23 kJ/mol of atoms. The calculation puts the calculated volume at 14.75 A^3/atom. The total energy is -6.04 eV per atom.

Record 7
Computed, not measured: a geometry-optimized AlSi4Os5 structure at the PBE level of DFT.

Lattice parameters (Å, degrees): 2.963 2.963 14.868 90.00 90.00 90.00
Fractional coordinates of all 10 atoms:
Al 0.000 0.000 0.000
Si 0.000 0.000 0.198
Si 0.000 0.000 0.400
Si 0.000 0.000 0.600
Si 0.000 0.000 0.802
Os 0.500 0.500 0.107
Os 0.500 0.500 0.303
Os 0.500 0.500 0.500
Os 0.500 0.500 0.697
Os 0.500 0.500 0.893

Output
The uncorrected formation energy is -37.17 kJ/mol of atoms. The calculation puts the calculated volume at 13.06 A^3/atom. The total energy is -8.54 eV per atom.

Record 8
Computed, not measured: a geometry-optimized AlSiOs3 structure at the PBE level of DFT.

Lattice parameters (Å, degrees): 4.366 4.366 4.366 90.00 90.00 90.00
Fractional coordinates of all 5 atoms:
Al 0.000 0.000 0.000
Si 0.500 0.500 0.500
Os 0.000 0.500 0.500
Os 0.500 0.000 0.500
Os 0.500 0.500 0.000

Output
The uncorrected formation energy is 92.90 kJ/mol of atoms. The calculation puts the calculated volume at 16.65 A^3/atom. The value obtained for the polymorph energy (0 for the lowest one) is 0.0000 eV per atom. The total energy is -7.61 eV per atom.

Record 9
Computed, not measured: a geometry-optimized Al2SiOs structure at the PBE level of DFT.

Lattice parameters (Å, degrees): 3.234 3.234 5.332 90.00 90.00 90.00
Fractional coordinates of all 4 atoms:
Al 0.000 0.000 0.247
Al 0.000 0.000 0.753
Si 0.500 0.500 0.000
Os 0.500 0.500 0.500

Output
The uncorrected formation energy is -19.87 kJ/mol of atoms. The calculation puts the calculated volume at 13.94 A^3/atom. The total energy is -6.24 eV per atom.

Record 10
Computed, not measured: a geometry-optimized AlSi4Os structure at the PBE level of DFT.

Lattice parameters (Å, degrees): 4.936 4.936 4.936 60.00 60.00 60.00
Fractional coordinates of all 6 atoms:
Al 0.000 0.000 0.000
Si 0.123 0.626 0.626
Si 0.626 0.123 0.626
Si 0.626 0.626 0.123
Si 0.626 0.626 0.626
Os 0.250 0.250 0.250

Output
The uncorrected formation energy is 59.60 kJ/mol of atoms. The calculation puts the calculated volume at 14.17 A^3/atom. The total energy is -5.49 eV per atom.

Record 11
Computed, not measured: a geometry-optimized AlSiOs2 structure at the PBE level of DFT.

Lattice parameters (Å, degrees): 4.328 4.328 4.328 60.00 60.00 60.00
Fractional coordinates of all 4 atoms:
Al 0.000 0.000 0.000
Si 0.750 0.750 0.750
Os 0.250 0.250 0.250
Os 0.500 0.500 0.500

Output
The uncorrected formation energy is 27.06 kJ/mol of atoms. The calculation puts the calculated volume at 14.33 A^3/atom. The total energy is -7.63 eV per atom.

Record 12
Computed, not measured: a geometry-optimized Al2SiOs structure at the PBE level of DFT.

Lattice parameters (Å, degrees): 6.999 6.999 6.999 96.08 96.08 142.03
Fractional coordinates of all 8 atoms:
Al 0.000 0.000 0.000
Al 0.000 0.000 0.500
Al 0.000 0.500 0.000
Al 0.500 0.000 0.500
Si 0.375 0.625 0.750
Si 0.625 0.375 0.250
Os 0.125 0.875 0.250
Os 0.875 0.125 0.750

Output
The uncorrected formation energy is -2.65 kJ/mol of atoms. The calculation puts the calculated volume at 24.94 A^3/atom. The total energy is -6.06 eV per atom.

Record 13
Computed, not measured: a geometry-optimized Al2SiOs structure at the PBE level of DFT.

Lattice parameters (Å, degrees): 4.570 4.570 4.492 97.69 97.69 37.94
Fractional coordinates of all 4 atoms:
Al 0.000 0.000 0.000
Al 0.243 0.243 0.740
Si 0.478 0.478 0.472
Os 0.746 0.746 0.249

Output
The uncorrected formation energy is -20.30 kJ/mol of atoms. The calculation puts the calculated volume at 14.28 A^3/atom. The total energy is -6.24 eV per atom.

Record 14
Computed, not measured: a geometry-optimized Al2SiOs structure at the PBE level of DFT.

Lattice parameters (Å, degrees): 4.627 4.627 4.627 130.63 130.63 72.41
Fractional coordinates of all 4 atoms:
Al 0.000 0.000 0.000
Al 0.750 0.250 0.500
Si 0.500 0.500 0.000
Os 0.250 0.750 0.500

Output
The uncorrected formation energy is -11.39 kJ/mol of atoms. The calculation puts the calculated volume at 13.94 A^3/atom. The total energy is -6.15 eV per atom.

Record 15
Computed, not measured: a geometry-optimized Al2SiOs structure at the PBE level of DFT.

Lattice parameters (Å, degrees): 4.311 4.311 3.042 90.00 90.00 90.00
Fractional coordinates of all 4 atoms:
Al 0.000 0.500 0.000
Al 0.500 0.000 0.000
Si 0.000 0.000 0.500
Os 0.500 0.500 0.500

Output
The uncorrected formation energy is -7.26 kJ/mol of atoms. The calculation puts the calculated volume at 14.13 A^3/atom. The total energy is -6.11 eV per atom.

Record 16
Computed, not measured: a geometry-optimized Al2SiOs structure at the PBE level of DFT.

Lattice parameters (Å, degrees): 4.062 4.989 4.989 36.01 90.00 90.00
Fractional coordinates of all 4 atoms:
Al 0.000 0.000 0.000
Al 0.500 0.326 0.326
Si 0.000 0.735 0.735
Os 0.500 0.599 0.599

Output
The uncorrected formation energy is -27.26 kJ/mol of atoms. The calculation puts the calculated volume at 14.86 A^3/atom. The total energy is -6.32 eV per atom.

Record 17
Computed, not measured: a geometry-optimized AlSiOs2 structure at the PBE level of DFT.

Lattice parameters (Å, degrees): 2.842 2.842 8.041 90.00 90.00 118.65
Fractional coordinates of all 4 atoms:
Al 0.000 0.000 0.000
Si 0.000 0.000 0.500
Os 0.500 0.500 0.264
Os 0.500 0.500 0.736

Output
The uncorrected formation energy is -1.89 kJ/mol of atoms. The calculation puts the calculated volume at 14.25 A^3/atom. The total energy is -7.93 eV per atom.

Record 18
Computed, not measured: a geometry-optimized AlSiOs3 structure at the PBE level of DFT.

Lattice parameters (Å, degrees): 4.392 4.392 4.392 90.00 90.00 90.00
Fractional coordinates of all 5 atoms:
Al 0.000 0.000 0.000
Si 0.500 0.500 0.500
Os 0.000 0.000 0.500
Os 0.000 0.500 0.000
Os 0.500 0.000 0.000

Output
The uncorrected formation energy is 170.61 kJ/mol of atoms. The calculation puts the calculated volume at 16.95 A^3/atom. The value obtained for the polymorph energy (0 for the lowest one) is 0.8055 eV per atom. The total energy is -6.80 eV per atom.

Record 19
Computed, not measured: a geometry-optimized Al2SiOs structure at the PBE level of DFT.

Lattice parameters (Å, degrees): 5.021 5.021 7.658 121.94 121.94 50.04
Fractional coordinates of all 8 atoms:
Al 0.000 0.000 0.000
Al 0.001 0.001 0.496
Al 0.362 0.362 0.149
Al 0.637 0.637 0.848
Si 0.293 0.293 0.435
Si 0.709 0.709 0.565
Os 0.317 0.317 0.776
Os 0.684 0.684 0.223

Output
The uncorrected formation energy is -27.27 kJ/mol of atoms. The calculation puts the calculated volume at 15.02 A^3/atom. The total energy is -6.32 eV per atom.

Record 20
Computed, not measured: a geometry-optimized AlSiOs2 structure at the PBE level of DFT.

Lattice parameters (Å, degrees): 2.767 2.767 8.556 90.00 90.00 117.70
Fractional coordinates of all 4 atoms:
Al 0.000 0.000 0.000
Si 0.500 0.500 0.741
Os 0.000 0.000 0.515
Os 0.500 0.500 0.242

Output
The uncorrected formation energy is 30.22 kJ/mol of atoms. The calculation puts the calculated volume at 14.50 A^3/atom. The total energy is -7.59 eV per atom.